! GGA-PBE Co3AuI, relaxed; values from VASP
! total magnetization: 1.210 μB/atom
! final energy: -3.87 eV/atom
! density: 7.40 g cm⁻³
! symmetry: Pm-3m
! DOS(E_F): 4.41 states/eV/atom
&SYSTEM
  ibrav = 0, nat = 5, ntyp = 3
/
ATOMIC_SPECIES
Co 58.93 Co.upf
Au 196.97 Au.upf
I 126.90 I.upf
ATOMIC_POSITIONS crystal
Co 0.0000 0.0000 0.5000
Co 0.0000 0.5000 0.0000
Co 0.5000 0.0000 0.0000
Au 0.0000 0.0000 0.0000
I 0.5000 0.5000 0.5000
CELL_PARAMETERS angstrom
4.8258 0.0000 0.0000
0.0000 4.8258 0.0000
0.0000 0.0000 4.8258

=====

! GGA-PBE PaPdAu2, relaxed; values from VASP
! total magnetization: 0.000 μB/atom
! final energy: -5.79 eV/atom
! density: 15.04 g cm⁻³
! symmetry: P2_1/m
! DOS(E_F): 0.68 states/eV/atom
&SYSTEM
  ibrav = 0, nat = 8, ntyp = 3
/
ATOMIC_SPECIES
Pa 231.04 Pa.upf
Pd 106.42 Pd.upf
Au 196.97 Au.upf
ATOMIC_POSITIONS crystal
Pa 0.0622 0.2500 0.1231
Pa 0.9378 0.7500 0.8769
Pd 0.2383 0.7500 0.4813
Pd 0.7617 0.2500 0.5187
Au 0.3702 0.0591 0.7363
Au 0.3702 0.4409 0.7363
Au 0.6298 0.5591 0.2637
Au 0.6298 0.9409 0.2637
CELL_PARAMETERS angstrom
4.1014 0.0000 0.0000
0.0000 7.9809 0.0000
-2.0488 0.0000 4.9332

=====

! GGA-PBE NdSi3Tc, relaxed; values from VASP
! total magnetization: 0.000 μB/atom
! final energy: -6.80 eV/atom
! density: 5.93 g cm⁻³
! symmetry: I4mm
! DOS(E_F): 0.36 states/eV/atom
&SYSTEM
  ibrav = 0, nat = 10, ntyp = 3
/
ATOMIC_SPECIES
Nd 144.24 Nd.upf
Si 28.09 Si.upf
Tc 98.00 Tc.upf
ATOMIC_POSITIONS crystal
Nd 0.0000 0.0000 0.0000
Nd 0.5000 0.5000 0.5000
Si 0.0000 0.0000 0.4234
Si 0.0000 0.5000 0.2648
Si 0.0000 0.5000 0.7648
Si 0.5000 0.0000 0.2648
Si 0.5000 0.0000 0.7648
Si 0.5000 0.5000 0.9234
Tc 0.0000 0.0000 0.6585
Tc 0.5000 0.5000 0.1585
CELL_PARAMETERS angstrom
4.2575 0.0000 0.0000
0.0000 4.2575 0.0000
0.0000 0.0000 10.0933